Entry 1:
# La3Sb4Au3

A relaxed structure of La3Sb4Au3 (GGA-PBE, Alexandria via LeMat-Bulk).

The calculated volume is 26.80 Å³ per atom. As for the space group: I-43d (220).

a b c (Å): 8.863 8.863 8.863
angles (deg): 109.47 109.47 109.47
Fractional positions:
La (0.875, 0.250, 0.125)
La (0.625, 0.750, 0.375)
La (0.250, 0.125, 0.875)
La (0.750, 0.375, 0.625)
La (0.125, 0.875, 0.250)
La (0.375, 0.625, 0.750)
Sb (0.672, 0.500, 0.000)
Sb (0.500, 0.000, 0.672)
Sb (0.000, 0.672, 0.500)
Sb (0.828, 0.828, 0.828)
Sb (0.500, 0.000, 0.172)
Sb (0.172, 0.500, 0.000)
Sb (0.000, 0.172, 0.500)
Sb (0.328, 0.328, 0.328)
Au (0.375, 0.250, 0.625)
Au (0.125, 0.750, 0.875)
Au (0.250, 0.625, 0.375)
Au (0.750, 0.875, 0.125)
Au (0.625, 0.375, 0.250)
Au (0.875, 0.125, 0.750)


Entry 2:
# La5SbAu2

A relaxed structure of La5SbAu2 (GGA-PBE, Alexandria via LeMat-Bulk).

The calculated volume is 30.86 Å³ per atom. As for the space group: I4/mcm (140).

a b c (Å): 8.528 8.528 9.081
angles (deg): 118.01 118.01 90.00
Fractional positions:
La (0.512, 0.699, 0.710)
La (0.801, 0.988, 0.290)
La (0.000, 0.000, 0.000)
La (0.500, 0.500, 0.000)
La (0.199, 0.012, 0.710)
La (0.699, 0.199, 0.710)
La (0.012, 0.512, 0.710)
La (0.301, 0.801, 0.290)
La (0.988, 0.488, 0.290)
La (0.488, 0.301, 0.290)
Sb (0.750, 0.750, 0.500)
Sb (0.250, 0.250, 0.500)
Au (0.136, 0.364, 0.000)
Au (0.636, 0.136, 0.000)
Au (0.364, 0.864, 0.000)
Au (0.864, 0.636, 0.000)


Entry 3:
# LaSbAu

A relaxed structure of LaSbAu (GGA-PBE, Alexandria via LeMat-Bulk).

The calculated volume is 27.38 Å³ per atom. As for the space group: P3m1 (156).

a b c (Å): 4.638 4.638 4.409
angles (deg): 90.00 90.00 120.00
Fractional positions:
Sb (0.333, 0.667, 0.774)
Au (0.000, 0.000, 0.916)
La (0.667, 0.333, 0.310)


| no. | formation energy (no corrections) (eV per atom) |
| --- | --- |
| 1 | -0.9640 |
| 2 | -0.7255 |
| 3 | -0.9259 |